[1]
LaTcS2 | PBEsol | relaxed

Its total magnetization is 4.000 μB per formula unit. Its formation energy from raw total energies is -1.78 eV/f.u. For the raw total energy, the calculation gives -6.7901 eV/atom.

It has space group R-3m (No. 166, hexagonal axes), with a = 4.2973 Å, b = 4.2973 Å, c = 22.1032 Å, α = 90.00°, β = 90.00° and γ = 120.00°. Symmetry generates all atoms from La at (0.0000, 0.0000, 0.0000), Tc at (0.0000, 0.0000, 0.5000) and S at (0.0000, 0.0000, 0.3957).

=====

[2]
Zr2MoOs | PBEsol | relaxed

Its total magnetization is 0.000 μB per formula unit. For the raw total energy, the calculation gives -10.7879 eV/atom. As for the formation energy: -95 kJ/mol of formula units.

It has space group P4/mmm (No. 123), with a = 3.253 Å, b = 3.253 Å, c = 6.615 Å, α = 90.00°, β = 90.00° and γ = 90.00°. Symmetry generates all atoms from Zr at (0.000, 0.000, 0.246), Mo at (0.500, 0.500, 0.500) and Os at (0.500, 0.500, 0.000).

=====

[3]
PbAu | PBEsol | relaxed

Its total magnetization is 0.000 μB per formula unit. For the raw total energy, the calculation gives -3.5970 eV/atom. As for the formation energy: 70 kJ/mol of formula units.

It has space group F-43m (No. 216), with a = 6.336 Å, b = 6.336 Å, c = 6.336 Å, α = 90.00°, β = 90.00° and γ = 90.00°. Symmetry generates all atoms from Pb at (0.000, 0.000, 0.000) and Au at (0.250, 0.250, 0.750).

=====

[4]
Ba3NbFe3Si2O14 | PBEsol | relaxed

Its total magnetization is 15.000 μB per formula unit. Its formation energy from raw total energies is -54.27 eV/f.u. For the raw total energy, the calculation gives -7.9745 eV/atom.

It has space group P321 (No. 150), with a = 8.5769 Å, b = 8.5769 Å, c = 5.2271 Å, α = 90.00°, β = 90.00° and γ = 120.00°. Symmetry generates all atoms from Ba at (0.0000, 0.4309, 0.0000), Nb at (0.0000, 0.0000, 0.0000), Fe at (0.0000, 0.7459, 0.5000), Si at (0.3333, 0.6667, 0.5235), O at (0.1042, 0.2184, 0.2255), O at (0.1757, 0.7009, 0.6510) and O at (0.3333, 0.6667, 0.2160).

=====

[5]
CoNi4O8 | PBEsol | relaxed

Its total magnetization is 0.749 μB per formula unit. Its formation energy from raw total energies is -10.36 eV/f.u. For the raw total energy, the calculation gives -6.5168 eV/atom.

It has space group C2/m (No. 12), with a = 9.689 Å, b = 5.603 Å, c = 5.603 Å, α = 90.00°, β = 124.47° and γ = 90.00°. Symmetry generates all atoms from Co at (0.000, 0.000, 0.000), Ni at (0.000, 0.000, 0.500), Ni at (0.000, 0.500, 0.000), Ni at (0.250, 0.250, 0.000), O at (0.018, 0.237, 0.786), O at (0.234, 0.000, 0.205) and O at (0.248, 0.500, 0.218).

=====

[6]
TaBe3 | PBEsol | relaxed

Its total magnetization is 0.000 μB per formula unit. For the raw total energy, the calculation gives -6.3676 eV/atom. As for the formation energy: -89 kJ/mol of formula units.

It has space group R-3m (No. 166, hexagonal axes), with a = 4.5278 Å, b = 4.5278 Å, c = 20.7788 Å, α = 90.00°, β = 90.00° and γ = 120.00°. Symmetry generates all atoms from Ta at (0.0000, 0.0000, 0.0000), Ta at (0.0000, 0.0000, 0.1402), Be at (0.0000, 0.0000, 0.3346), Be at (0.0000, 0.0000, 0.5000) and Be at (0.0065, 0.5033, 0.9188).

=====

[7]
Fe7Pt6 | PBEsol | relaxed

Its total magnetization is 20.421 μB per formula unit. For the raw total energy, the calculation gives -8.1306 eV/atom. As for the formation energy: -113 kJ/mol of formula units.

It has space group R-3m (No. 166, hexagonal axes), with a = 4.7514 Å, b = 4.7514 Å, c = 25.9317 Å, α = 90.00°, β = 90.00° and γ = 120.00°. Symmetry generates all atoms from Fe at (0.0000, 0.0000, 0.0000), Fe at (0.0019, 0.5009, 0.4100), Pt at (0.0000, 0.0000, 0.1667), Pt at (0.0000, 0.0000, 0.3464) and Pt at (0.0000, 0.0000, 0.4513).

=====

[8]
AlAsPb | PBEsol | relaxed

As for the energy above the lowest structure with this stoichiometry: 0.501 eV per atom. Its total magnetization is 0.000 μB per formula unit. For the raw total energy, the calculation gives -3.9436 eV/atom. As for the formation energy: 132 kJ/mol of formula units.

It has space group F-43m (No. 216), with a = 6.889 Å, b = 6.889 Å, c = 6.889 Å, α = 90.00°, β = 90.00° and γ = 90.00°. Symmetry generates all atoms from Al at (0.000, 0.000, 0.000), As at (0.000, 0.000, 0.500) and Pb at (0.250, 0.250, 0.250).

=====

> Among the records above, which one has the lowest raw total energy?

Zr2MoOs

=====

> Number 5 is which compound?

CoNi4O8